Entry 1:
A plane-wave DFT calculation with GGA-PBE was carried out for a geometry-optimized KDySeO structure.

The space group is P2_1/c (No. 14) and the conventional cell measures 7.786, 7.437 and 6.533 Å, with angles of 90.00, 102.32 and 90.00 degrees. Symmetry generates all atoms from K at (0.091, 0.228, 0.496), Dy at (0.474, 0.627, 0.777), Se at (0.241, 0.589, 0.353) and O at (0.405, 0.148, 0.383).

As for the energy above the lowest structure with this stoichiometry: 0.000 eV/atom. The density is 5330 kg/m3.


Entry 2:
A plane-wave DFT calculation with GGA-PBE was carried out for a geometry-optimized MgCoAgPb structure.

The space group is F-43m (No. 216) and the conventional cell measures 6.631, 6.631 and 6.631 Å, with angles of 90.00, 90.00 and 90.00 degrees. Symmetry generates all atoms from Mg at (0.000, 0.000, 0.000), Co at (0.250, 0.250, 0.750), Ag at (0.250, 0.250, 0.250) and Pb at (0.000, 0.000, 0.500).

As for the energy above the lowest structure with this stoichiometry: 0.000 eV/atom. The density is 9073 kg/m3.